1.
## CsK2Se2 (PBE)

Data for an optimized crystal structure of CsK2Se2.

Results
Offset from the most stable computed form, eV per atom: 0.135
ΔE_f (raw), kcal/mol of atoms: -19.77
Total magnetization, μB per formula unit: 0.97
ρ, Mg/m³: 3.14

POSCAR file:
```
CsK2Se2
1.0
-2.6675 2.6675 6.8601
2.6675 -2.6675 6.8601
2.6675 2.6675 -6.8601
Cs K Se
1 2 2
Cartesian
0.0000 0.0000 0.0000 Cs
2.6675 0.0000 3.4300 K
0.0000 2.6675 3.4300 K
0.0000 0.0000 5.3258 Se
0.0000 0.0000 8.3943 Se
```

=====

2.
## Cs5K4Se (PBE)

Data for an optimized crystal structure of Cs5K4Se.

Results
ΔE_f (raw), kcal/mol of atoms: -6.95
Total magnetization, μB per formula unit: 0.00
ρ, Mg/m³: 1.78

POSCAR file:
```
Cs5K4Se
1.0
-7.6551 7.6551 3.5791
7.6551 -7.6551 3.5791
7.6551 7.6551 -3.5791
Cs K Se
5 4 1
Cartesian
0.0000 0.0000 0.0000 Cs
5.2075 5.2075 0.0000 Cs
2.4476 -2.4476 3.5791 Cs
-2.4476 2.4476 3.5791 Cs
2.4476 2.4476 3.5791 Cs
5.4216 0.0000 0.0000 K
9.8886 0.0000 0.0000 K
0.0000 5.4216 0.0000 K
0.0000 9.8886 0.0000 K
0.0000 0.0000 3.5791 Se
```

=====

Number 2 is which compound? Cs5K4Se

=====

Number 1 is which compound? CsK2Se2